[1]
# KScN2F meta-GGA SCAN single point on PBEsol structure
data_KScN2F
_chemical_formula_sum 'K1 Sc1 N2 F1'
_space_group_name_H-M_alt 'P 1'
_space_group_IT_number 1
_cell_length_a 4.168
_cell_length_b 4.322
_cell_length_c 4.322
_cell_angle_alpha 90.00
_cell_angle_beta 90.00
_cell_angle_gamma 90.00
loop_
_space_group_symop_operation_xyz
'x,y,z'
loop_
_atom_site_label
_atom_site_fract_x
_atom_site_fract_y
_atom_site_fract_z
_atom_site_occupancy
N1 0.000 0.500 0.000 1
F1 0.500 0.000 0.000 1
K1 0.500 0.500 0.500 1
N2 0.000 0.000 0.500 1
Sc1 0.000 0.000 0.000 1
# Energy relative to the elements, uncorrected in meV/atom: -987.2

---

[2]
# KSeN2F meta-GGA SCAN single point on PBEsol structure
data_KSeN2F
_chemical_formula_sum 'K1 Se1 N2 F1'
_space_group_name_H-M_alt 'P 1'
_space_group_IT_number 1
_cell_length_a 4.757
_cell_length_b 5.499
_cell_length_c 5.499
_cell_angle_alpha 90.00
_cell_angle_beta 90.00
_cell_angle_gamma 90.00
loop_
_space_group_symop_operation_xyz
'x,y,z'
loop_
_atom_site_label
_atom_site_fract_x
_atom_site_fract_y
_atom_site_fract_z
_atom_site_occupancy
Se1 0.500 0.500 0.500 1
N1 0.000 0.000 0.500 1
F1 0.500 0.000 0.000 1
K1 0.000 0.000 0.000 1
N2 0.000 0.500 0.000 1
# Energy relative to the elements, uncorrected in meV/atom: 1385.5
# Distance to the lowest polymorph of the same formula in eV/f.u.: 5.85

---

[3]
# KSeN2F meta-GGA SCAN single point on PBEsol structure
data_KSeN2F
_chemical_formula_sum 'K1 Se1 N2 F1'
_space_group_name_H-M_alt 'P 1'
_space_group_IT_number 1
_cell_length_a 3.718
_cell_length_b 3.718
_cell_length_c 4.904
_cell_angle_alpha 90.00
_cell_angle_beta 90.00
_cell_angle_gamma 90.00
loop_
_space_group_symop_operation_xyz
'x,y,z'
loop_
_atom_site_label
_atom_site_fract_x
_atom_site_fract_y
_atom_site_fract_z
_atom_site_occupancy
F1 0.000 0.000 0.500 1
Se1 0.000 0.000 0.000 1
N1 0.500 0.000 0.000 1
N2 0.000 0.500 0.000 1
K1 0.500 0.500 0.500 1
# Energy relative to the elements, uncorrected in meV/atom: 215.0
# Distance to the lowest polymorph of the same formula in eV/f.u.: 0.00

---

[4]
# KTeN2F meta-GGA SCAN single point on PBEsol structure
data_KTeN2F
_chemical_formula_sum 'K1 Te1 N2 F1'
_space_group_name_H-M_alt 'P 1'
_space_group_IT_number 1
_cell_length_a 4.011
_cell_length_b 4.011
_cell_length_c 4.669
_cell_angle_alpha 90.00
_cell_angle_beta 90.00
_cell_angle_gamma 90.00
loop_
_space_group_symop_operation_xyz
'x,y,z'
loop_
_atom_site_label
_atom_site_fract_x
_atom_site_fract_y
_atom_site_fract_z
_atom_site_occupancy
K1 0.500 0.500 0.500 1
N1 0.500 0.000 0.000 1
F1 0.000 0.000 0.500 1
Te1 0.000 0.000 0.000 1
N2 0.000 0.500 0.000 1
# Energy relative to the elements, uncorrected in meV/atom: -20.9